Entry from Alexandria: GdErCuAu after structural relaxation (GGA-PBE).

- Size of the total moment: 1.783 μB/atom
- Symmetry: F-43m
- Density of states at the Fermi level: 2.6 states/eV per cell
- DFT formation energy: -538 meV/atom

a = 5.0210 Å, b = 5.0210 Å, c = 5.0210 Å
α = 60.00°, β = 60.00°, γ = 60.00°
Last column: nearest neighbours and their distance in Å.
Positions (direct):
Gd 0.0000 0.0000 0.0000  4 Cu 3.07, 4 Au 3.07
Er 0.5000 0.5000 0.5000  4 Cu 3.07, 4 Au 3.07
Cu 0.7500 0.7500 0.7500  4 Gd 3.07, 4 Er 3.07
Au 0.2500 0.2500 0.2500  4 Gd 3.07, 4 Er 3.07